# Na4CoO4 | the Alexandria database | PBE with a Hubbard U | relaxed
# M_tot = 5.0 μB/cell
# raw total energy = -4.58 eV/atom
# density = 2.37 Mg/m³
# symmetry = I-42m, No. 121
data_Na4CoO4
_cell_length_a 6.2674
_cell_length_b 6.2674
_cell_length_c 6.2674
_cell_angle_alpha 127.45
_cell_angle_beta 127.45
_cell_angle_gamma 77.53
_symmetry_space_group_name_H-M 'P 1'
_symmetry_Int_Tables_number 1
_symmetry_space_group_name_Hall 'P 1'
loop_
_atom_site_label
_atom_site_type_symbol
_atom_site_fract_x
_atom_site_fract_y
_atom_site_fract_z
Na1 Na 0.0000 0.5000 0.5000
Na2 Na 0.2071 0.2071 0.0000
Na3 Na 0.5000 0.0000 0.5000
Na4 Na 0.7929 0.7929 0.0000
Co1 Co 0.5000 0.5000 0.0000
O1 O 0.2029 0.5851 0.0000
O2 O 0.4149 0.4149 0.6178
O3 O 0.5851 0.2029 0.0000
O4 O 0.7971 0.7971 0.3822